A plane-wave DFT calculation with PBE-GGA was carried out for a relaxed NaLi2SnF crystal.

a b c (Å): 4.314 4.314 4.736
angles (deg): 90.00 90.00 90.00
Fractional positions:
Na  0.000  0.000  0.000
Li  0.000  0.500  0.500
Li  0.500  0.000  0.500
Sn  0.500  0.500  0.000
F  0.000  0.000  0.500

Values from the calculation:
total DFT energy (no corrections)	-3.34	eV per atom
DOS(E_F)	2.337	states/eV/f.u.
space-group type	P4/mmm (123)